DFT (meta-GGA SCAN) results for a PBEsol-optimized structure of Ti2AlHg.

Unit cell a=4.5808 b=4.5808 c=4.5808 alpha=60.00 beta=60.00 gamma=60.00
Last column: nearest neighbours and their distance in Å.
Positions (direct):
1 Al 0.0000 0.0000 0.0000  8 Ti 2.81
2 Hg 0.5000 0.5000 0.5000  8 Ti 2.81
3 Ti 0.2500 0.2500 0.2500  4 Hg 2.81, 4 Al 2.81
4 Ti 0.7500 0.7500 0.7500  4 Hg 2.81, 4 Al 2.81

Total magnetization   0.01 μB/cell
Total DFT energy (no corrections)   -108.8 eV per formula unit


DFT (meta-GGA SCAN) results for a PBEsol-optimized structure of TiAlHg3.

Unit cell a=5.2223 b=5.2223 c=5.2223 alpha=90.00 beta=90.00 gamma=90.00
Last column: nearest neighbours and their distance in Å.
Positions (direct):
1 Ti 0.0000 0.0000 0.0000  6 Hg 2.61
2 Al 0.5000 0.5000 0.5000  12 Hg 3.69
3 Hg 0.0000 0.5000 0.0000  2 Ti 2.61
4 Hg 0.5000 0.0000 0.0000  2 Ti 2.61
5 Hg 0.0000 0.0000 0.5000  2 Ti 2.61

Total magnetization   2.60 μB/cell
Total DFT energy (no corrections)   -225.0 eV per formula unit


DFT (meta-GGA SCAN) results for a PBEsol-optimized structure of Ti2AlHg.

Unit cell a=5.3519 b=5.8601 c=5.8601 alpha=77.96 beta=62.83 gamma=62.83
Last column: nearest neighbours and their distance in Å.
Positions (direct):
1 Ti 0.3750 0.4989 0.0011  2 Ti 2.68, 2 Al 2.69, 2 Hg 2.70
2 Ti 0.8750 0.5011 0.9989  2 Ti 2.68, 2 Al 2.69, 2 Hg 2.70
3 Ti 0.1261 0.9989 0.4989  2 Ti 2.68, 2 Al 2.69, 2 Hg 2.70
4 Ti 0.6239 0.0011 0.5011  2 Ti 2.68, 2 Al 2.69, 2 Hg 2.70
5 Hg 0.0000 0.0000 0.0000  2 Al 2.68, 4 Ti 2.70
6 Hg 0.7500 0.5000 0.5000  2 Al 2.68, 4 Ti 2.70
7 Al 0.5000 0.0000 0.0000  2 Hg 2.68, 4 Ti 2.69
8 Al 0.2500 0.5000 0.5000  2 Hg 2.68, 4 Ti 2.69

Total magnetization   0.00 μB/cell
Total DFT energy (no corrections)   -107.5 eV per formula unit


DFT (meta-GGA SCAN) results for a PBEsol-optimized structure of AlHg3W.

Unit cell a=4.9882 b=4.9882 c=4.9882 alpha=90.00 beta=90.00 gamma=90.00
Last column: nearest neighbours and their distance in Å.
Positions (direct):
1 Hg 0.0000 0.5000 0.0000  2 Al 2.49
2 Hg 0.5000 0.0000 0.0000  2 Al 2.49
3 Hg 0.0000 0.0000 0.5000  2 Al 2.49
4 W 0.5000 0.5000 0.5000  12 Hg 3.53
5 Al 0.0000 0.0000 0.0000  6 Hg 2.49

Total magnetization   4.77 μB/cell
Total DFT energy (no corrections)   -275.1 eV per formula unit


DFT (meta-GGA SCAN) results for a PBEsol-optimized structure of Al2HgW.

Unit cell a=2.8774 b=4.8485 c=4.8485 alpha=105.99 beta=90.00 gamma=90.00
Last column: nearest neighbours and their distance in Å.
Positions (direct):
1 Hg 0.5000 0.5000 0.5000  8 Al 2.82, 2 Hg 2.88, 2 W 2.92
2 W 0.5000 0.0000 0.0000  8 Al 2.82, 2 W 2.88, 2 Hg 2.92
3 Al 0.0000 0.0000 0.5000  4 W 2.82, 4 Hg 2.82, 4 Al 2.88-2.92
4 Al 0.0000 0.5000 0.0000  4 Hg 2.82, 4 W 2.82, 4 Al 2.88-2.92

Total magnetization   0.00 μB/cell
Total DFT energy (no corrections)   -152.7 eV per formula unit


DFT (meta-GGA SCAN) results for a PBEsol-optimized structure of AlHgW3.

Unit cell a=4.5175 b=4.5175 c=4.5175 alpha=90.00 beta=90.00 gamma=90.00
Last column: nearest neighbours and their distance in Å.
Positions (direct):
1 W 0.5000 0.0000 0.0000  2 Al 2.26
2 W 0.0000 0.5000 0.0000  2 Al 2.26
3 W 0.0000 0.0000 0.5000  2 Al 2.26
4 Hg 0.5000 0.5000 0.5000  12 W 3.19
5 Al 0.0000 0.0000 0.0000  6 W 2.26

Total magnetization   0.00 μB/cell
Total DFT energy (no corrections)   -274.8 eV per formula unit


DFT (meta-GGA SCAN) results for a PBEsol-optimized structure of Al2HgW.

Unit cell a=2.8213 b=4.8148 c=4.8414 alpha=90.00 beta=90.00 gamma=90.00
Last column: nearest neighbours and their distance in Å.
Positions (direct):
1 Hg 0.0000 0.5196 0.0000  6 Al 2.78-2.81, 2 Hg 2.82, 4 W 3.00
2 Al 0.0000 0.2220 0.5000  4 W 2.71-2.87, 2 Hg 2.81, 6 Al 2.82-2.97
3 Al 0.5000 0.0171 0.0000  2 W 2.76, 4 Hg 2.78-2.80, 6 Al 2.82-2.97
4 W 0.5000 0.7413 0.5000  6 Al 2.71-2.87, 2 W 2.82, 4 Hg 3.00

Total magnetization   0.00 μB/cell
Total DFT energy (no corrections)   -152.6 eV per formula unit


DFT (meta-GGA SCAN) results for a PBEsol-optimized structure of Y2AlHg2.

Unit cell a=4.4207 b=7.3036 c=7.3036 alpha=90.00 beta=90.00 gamma=90.00
Last column: nearest neighbours and their distance in Å.
Positions (direct):
1 Hg 0.0000 0.6378 0.1378  2 Al 2.83, 1 Hg 2.85, 6 Y 2.98-3.15
2 Hg 0.0000 0.1378 0.3622  2 Al 2.83, 1 Hg 2.85, 6 Y 2.98-3.15
3 Hg 0.0000 0.3622 0.8622  2 Al 2.83, 1 Hg 2.85, 6 Y 2.98-3.15
4 Hg 0.0000 0.8622 0.6378  2 Al 2.83, 1 Hg 2.85, 6 Y 2.98-3.15
5 Al 0.0000 0.0000 0.0000  4 Hg 2.83
6 Al 0.0000 0.5000 0.5000  4 Hg 2.83
7 Y 0.5000 0.3314 0.1686  6 Hg 2.98-3.15
8 Y 0.5000 0.6686 0.8314  6 Hg 2.98-3.15
9 Y 0.5000 0.1686 0.6686  6 Hg 2.98-3.15
10 Y 0.5000 0.8314 0.3314  6 Hg 2.98-3.15

Total magnetization   0.00 μB/cell
Total DFT energy (no corrections)   -203.0 eV per formula unit


DFT (meta-GGA SCAN) results for a PBEsol-optimized structure of YAl2Hg.

Unit cell a=3.2542 b=3.2542 c=9.5960 alpha=80.24 beta=80.24 gamma=60.00
Last column: nearest neighbours and their distance in Å.
Positions (direct):
1 Y 0.0000 0.0000 0.0000  6 Al 3.14, 6 Y 3.25
2 Al 0.2440 0.2440 0.2679  3 Hg 2.88, 3 Y 3.14
3 Al 0.7560 0.7560 0.7321  3 Hg 2.88, 3 Y 3.14
4 Hg 0.5000 0.5000 0.5000  6 Al 2.88

Total magnetization   0.00 μB/cell
Total DFT energy (no corrections)   -111.5 eV per formula unit


DFT (meta-GGA SCAN) results for a PBEsol-optimized structure of YAl2Hg.

Unit cell a=4.8925 b=4.8925 c=4.8925 alpha=60.00 beta=60.00 gamma=60.00
Last column: nearest neighbours and their distance in Å.
Positions (direct):
1 Hg 0.5000 0.5000 0.5000  4 Al 3.00, 4 Y 3.00
2 Al 0.0000 0.0000 0.0000  4 Y 3.00, 4 Al 3.00
3 Al 0.7500 0.7500 0.7500  4 Hg 3.00, 4 Al 3.00
4 Y 0.2500 0.2500 0.2500  4 Hg 3.00, 4 Al 3.00

Total magnetization   0.00 μB/cell
Total DFT energy (no corrections)   -112.5 eV per formula unit


DFT (meta-GGA SCAN) results for a PBEsol-optimized structure of YAl2Hg2.

Unit cell a=4.1839 b=4.1839 c=6.6592 alpha=108.31 beta=108.31 gamma=90.00
Last column: nearest neighbours and their distance in Å.
Positions (direct):
1 Al 0.7500 0.2500 0.5000  4 Hg 2.65, 4 Al 2.96
2 Al 0.2500 0.7500 0.5000  4 Hg 2.65, 4 Al 2.96
3 Hg 0.6136 0.6136 0.2271  4 Al 2.65, 1 Hg 2.71
4 Hg 0.3864 0.3864 0.7729  4 Al 2.65, 1 Hg 2.71
5 Y 0.0000 0.0000 0.0000  8 Hg 3.25, 8 Al 3.64

Total magnetization   0.00 μB/cell
Total DFT energy (no corrections)   -182.2 eV per formula unit


DFT (meta-GGA SCAN) results for a PBEsol-optimized structure of YAlHg.

Unit cell a=3.5806 b=4.5792 c=4.5792 alpha=120.00 beta=90.00 gamma=90.00
Last column: nearest neighbours and their distance in Å.
Positions (direct):
1 Al 0.0000 0.0000 0.0000  3 Hg 2.64
2 Hg 0.0000 0.3333 0.6667  3 Al 2.64
3 Y 0.5000 0.6667 0.3333  6 Al 3.19, 6 Hg 3.19

Total magnetization   0.16 μB/cell
Total DFT energy (no corrections)   -105.8 eV per formula unit


DFT (meta-GGA SCAN) results for a PBEsol-optimized structure of YAlHg3.

Unit cell a=5.6381 b=5.6381 c=5.6381 alpha=90.00 beta=90.00 gamma=90.00
Last column: nearest neighbours and their distance in Å.
Positions (direct):
1 Hg 0.0000 0.5000 0.0000  2 Y 2.82
2 Hg 0.0000 0.0000 0.5000  2 Y 2.82
3 Hg 0.5000 0.0000 0.0000  2 Y 2.82
4 Al 0.5000 0.5000 0.5000  12 Hg 3.99
5 Y 0.0000 0.0000 0.0000  6 Hg 2.82

Total magnetization   0.00 μB/cell
Total DFT energy (no corrections)   -237.0 eV per formula unit


DFT (meta-GGA SCAN) results for a PBEsol-optimized structure of YAl2Hg.

Unit cell a=4.2336 b=4.3445 c=4.3445 alpha=90.00 beta=90.00 gamma=90.00
Last column: nearest neighbours and their distance in Å.
Positions (direct):
1 Al 0.0000 0.0000 0.5000  4 Hg 3.03, 4 Y 3.03, 4 Al 3.07
2 Al 0.0000 0.5000 0.0000  4 Hg 3.03, 4 Y 3.03, 4 Al 3.07
3 Hg 0.5000 0.5000 0.5000  8 Al 3.03, 4 Y 3.07
4 Y 0.5000 0.0000 0.0000  8 Al 3.03, 4 Hg 3.07

Total magnetization   0.00 μB/cell
Total DFT energy (no corrections)   -113.4 eV per formula unit


DFT (meta-GGA SCAN) results for a PBEsol-optimized structure of Y2Al2Hg.

Unit cell a=4.6323 b=6.9417 c=6.9417 alpha=90.00 beta=90.00 gamma=90.00
Last column: nearest neighbours and their distance in Å.
Positions (direct):
1 Hg 0.0000 0.0000 0.0000  4 Al 2.71
2 Hg 0.0000 0.5000 0.5000  4 Al 2.71
3 Y 0.5000 0.8304 0.3304  6 Al 3.02-3.14, 1 Y 3.33
4 Y 0.5000 0.3304 0.1696  6 Al 3.02-3.14, 1 Y 3.33
5 Y 0.5000 0.6696 0.8304  6 Al 3.02-3.14, 1 Y 3.33
6 Y 0.5000 0.1696 0.6696  6 Al 3.02-3.14, 1 Y 3.33
7 Al 0.0000 0.6327 0.1327  1 Al 2.61, 2 Hg 2.71
8 Al 0.0000 0.8673 0.6327  1 Al 2.61, 2 Hg 2.71
9 Al 0.0000 0.1327 0.3673  1 Al 2.61, 2 Hg 2.71
10 Al 0.0000 0.3673 0.8673  1 Al 2.61, 2 Hg 2.71

Total magnetization   0.00 μB/cell
Total DFT energy (no corrections)   -142.4 eV per formula unit


DFT (meta-GGA SCAN) results for a PBEsol-optimized structure of YAlHg.

Unit cell a=4.5603 b=5.8153 c=5.8153 alpha=76.54 beta=66.92 gamma=66.92
Last column: nearest neighbours and their distance in Å.
Positions (direct):
1 Al 0.1641 0.5447 0.1271  3 Hg 2.65
2 Al 0.1641 0.1271 0.5447  3 Hg 2.65
3 Y 0.5255 0.9745 0.9745  6 Hg 3.14-3.18, 6 Al 3.23-3.29
4 Y 0.4739 0.5261 0.5261  6 Al 3.12-3.23, 6 Hg 3.22-3.28
5 Hg 0.8341 0.9407 0.3911  3 Al 2.65
6 Hg 0.8341 0.3911 0.9407  3 Al 2.65

Total magnetization   0.35 μB/cell
Total DFT energy (no corrections)   -105.9 eV per formula unit


DFT (meta-GGA SCAN) results for a PBEsol-optimized structure of Zr2AlHg.

Unit cell a=4.2584 b=4.2884 c=4.2884 alpha=90.00 beta=90.00 gamma=90.00
Last column: nearest neighbours and their distance in Å.
Positions (direct):
1 Zr 0.0000 0.0000 0.5000  4 Hg 3.02, 4 Al 3.02, 4 Zr 3.03
2 Zr 0.0000 0.5000 0.0000  4 Al 3.02, 4 Hg 3.02, 4 Zr 3.03
3 Hg 0.5000 0.0000 0.0000  8 Zr 3.02, 4 Al 3.03
4 Al 0.5000 0.5000 0.5000  8 Zr 3.02, 4 Hg 3.03

Total magnetization   0.05 μB/cell
Total DFT energy (no corrections)   -139.1 eV per formula unit


DFT (meta-GGA SCAN) results for a PBEsol-optimized structure of Zr2AlHg.

Unit cell a=3.0934 b=4.9580 c=5.1405 alpha=90.00 beta=90.86 gamma=90.00
Last column: nearest neighbours and their distance in Å.
Positions (direct):
1 Al 0.3773 0.0000 0.4374  8 Zr 2.92-3.04, 2 Al 3.09, 2 Hg 3.11
2 Zr 0.8934 0.0000 0.9460  4 Al 2.92-3.04, 4 Hg 2.99-3.05, 4 Zr 3.09-3.13
3 Zr 0.8583 0.5000 0.3152  4 Hg 2.94-3.10, 4 Al 2.96-3.01, 4 Zr 3.09-3.13
4 Hg 0.3710 0.5000 0.8014  8 Zr 2.94-3.10, 2 Hg 3.09, 2 Al 3.11

Total magnetization   0.01 μB/cell
Total DFT energy (no corrections)   -138.8 eV per formula unit


DFT (meta-GGA SCAN) results for a PBEsol-optimized structure of Zr2AlHg.

Unit cell a=3.0368 b=3.0368 c=8.4480 alpha=90.00 beta=90.00 gamma=90.00
Last column: nearest neighbours and their distance in Å.
Positions (direct):
1 Al 0.5000 0.5000 0.2500  8 Zr 2.94, 4 Al 3.04
2 Zr 0.0000 0.0000 0.0120  4 Al 2.94, 4 Zr 3.04, 4 Hg 3.08
3 Zr 0.0000 0.0000 0.4880  4 Al 2.94, 4 Zr 3.04, 4 Hg 3.08
4 Hg 0.5000 0.5000 0.7500  4 Hg 3.04, 8 Zr 3.08

Total magnetization   0.02 μB/cell
Total DFT energy (no corrections)   -139.1 eV per formula unit


DFT (meta-GGA SCAN) results for a PBEsol-optimized structure of Zr2AlHg.

Unit cell a=3.1038 b=5.1779 c=5.1779 alpha=109.77 beta=90.00 gamma=90.00
Last column: nearest neighbours and their distance in Å.
Positions (direct):
1 Zr 0.0000 0.5000 0.0000  4 Zr 2.98-3.10, 4 Al 3.02, 4 Hg 3.02
2 Zr 0.0000 0.0000 0.5000  4 Zr 2.98-3.10, 4 Hg 3.02, 4 Al 3.02
3 Al 0.5000 0.0000 0.0000  2 Hg 2.98, 8 Zr 3.02, 2 Al 3.10
4 Hg 0.5000 0.5000 0.5000  2 Al 2.98, 8 Zr 3.02, 2 Hg 3.10

Total magnetization   0.01 μB/cell
Total DFT energy (no corrections)   -139.1 eV per formula unit


Number 1: energy relative to the elements -0.194 eV per atom, density of states at the Fermi level 1.08 states/eV per atom. Number 2: energy relative to the elements 0.650 eV per atom, density of states at the Fermi level 0.84 states/eV per atom. Number 3: energy relative to the elements 0.128 eV per atom, density of states at the Fermi level 1.01 states/eV per atom. Number 4: energy relative to the elements 1.373 eV per atom, density of states at the Fermi level 0.55 states/eV per atom. Number 5: energy relative to the elements 0.177 eV per atom, density of states at the Fermi level 0.35 states/eV per atom. Number 6: energy relative to the elements 2.029 eV per atom, density of states at the Fermi level 1.06 states/eV per atom. Number 7: energy relative to the elements 0.181 eV per atom, density of states at the Fermi level 0.41 states/eV per atom. Number 8: energy relative to the elements -0.653 eV per atom, density of states at the Fermi level 0.56 states/eV per atom. Number 9: energy relative to the elements 0.006 eV per atom, density of states at the Fermi level 0.76 states/eV per atom. Number 10: energy relative to the elements -0.239 eV per atom, density of states at the Fermi level 0.39 states/eV per atom. Number 11: energy relative to the elements -0.511 eV per atom, density of states at the Fermi level 0.19 states/eV per atom. Number 12: energy relative to the elements -0.691 eV per atom, density of states at the Fermi level 0.49 states/eV per atom. Number 13: energy relative to the elements 0.621 eV per atom, density of states at the Fermi level 1.44 states/eV per atom. Number 14: energy relative to the elements -0.465 eV per atom, density of states at the Fermi level 0.38 states/eV per atom. Number 15: energy relative to the elements -0.615 eV per atom, density of states at the Fermi level 0.35 states/eV per atom. Number 16: energy relative to the elements -0.699 eV per atom, density of states at the Fermi level 0.54 states/eV per atom. Number 17: energy relative to the elements -0.441 eV per atom, density of states at the Fermi level 0.74 states/eV per atom. Number 18: energy relative to the elements -0.362 eV per atom, density of states at the Fermi level 0.58 states/eV per atom. Number 19: energy relative to the elements -0.436 eV per atom, density of states at the Fermi level 0.82 states/eV per atom. Number 20: energy relative to the elements -0.437 eV per atom, density of states at the Fermi level 0.67 states/eV per atom.